Entry from Alexandria via LeMat-Bulk: an optimized crystal structure of MgNiF2 (PBE+U).

a b c (Å): 3.1931 3.1931 19.8859
angles (deg): 90.00 90.00 120.00
Fractional positions:
Mg1 0.0000 0.0000 0.0000
Mg2 0.3333 0.6667 0.6667
Mg3 0.6667 0.3333 0.3333
Ni1 0.0000 0.0000 0.5000
Ni2 0.3333 0.6667 0.1667
Ni3 0.6667 0.3333 0.8333
F1 0.0000 0.0000 0.1163
F2 0.0000 0.0000 0.8837
F3 0.3333 0.6667 0.5503
F4 0.3333 0.6667 0.7830
F5 0.6667 0.3333 0.2170
F6 0.6667 0.3333 0.4497

Summary:
Its offset from the most stable computed form is 579 meV per atom. The volume is 175.59 Å³/cell. The value obtained for the total energy is -41.572 eV per cell. The calculation puts the density of states at the Fermi level at 8.9 states/eV per cell. For the mass density, the calculation gives 3.4 g cm⁻³.